Density functional theory data (PBE) for Ce12GaHg3 after structural relaxation.

Geometry as POSCAR:
```
Ce12GaHg3
1.0
-2.2255 -3.1984 -2.6953
4.1821 -1.7500 -1.3765
-0.2658 -12.1244 14.6072
Ce Ga Hg
12 1 3
direct
0.5000 0.5000 0.0000
0.5000 0.5000 0.2451
0.5000 0.5000 0.5000
0.5000 0.5000 0.7549
0.5000 0.0000 0.1180
0.5000 0.0000 0.3731
0.5000 0.0000 0.6269
0.5000 0.0000 0.8820
0.0000 0.5000 0.1180
0.0000 0.5000 0.3731
0.0000 0.5000 0.6269
0.0000 0.5000 0.8820
0.0000 0.0000 0.0000
0.0000 0.0000 0.2465
0.0000 0.0000 0.5000
0.0000 0.0000 0.7535
```

Computed properties:
energy relative to the elements	-0.13	eV/atom
SG	P4/mmm